A relaxed structure of Zn2CrP. Source: Alexandria via LeMat-Bulk, functional GGA-PBEsol.

a b c (Å): 2.552 2.552 8.275
angles (deg): 90.00 90.00 99.50
Positions (direct):
1 Zn 0.000 0.000 0.233
2 Zn 0.000 0.000 0.767
3 Cr 0.500 0.500 0.000
4 P 0.500 0.500 0.500

Calculated values
The calculation puts the size of the total moment at 0.00 μB/cell. The value obtained for the total energy is -4.47 eV/atom.